[1]
# CdCo | OQMD via LeMat-Bulk | GGA-PBE | optimized geometry
data_CdCo
_chemical_formula_sum 'Cd12 Co12'
_space_group_name_H-M_alt 'P 1'
_space_group_IT_number 1
_cell_length_a 8.0488
_cell_length_b 8.0488
_cell_length_c 8.0488
_cell_angle_alpha 60.00
_cell_angle_beta 60.00
_cell_angle_gamma 60.00
loop_
_space_group_symop_operation_xyz
'x,y,z'
loop_
_atom_site_label
_atom_site_fract_x
_atom_site_fract_y
_atom_site_fract_z
Cd1 0.0704 0.0704 0.6796
Cd2 0.0704 0.6796 0.0704
Cd3 0.0704 0.6796 0.6796
Cd4 0.3204 0.3204 0.9296
Cd5 0.3204 0.9296 0.3204
Cd6 0.3204 0.9296 0.9296
Cd7 0.6796 0.0704 0.0704
Cd8 0.6796 0.0704 0.6796
Cd9 0.6796 0.6796 0.0704
Cd10 0.9296 0.3204 0.3204
Cd11 0.9296 0.3204 0.9296
Cd12 0.9296 0.9296 0.3204
Co1 0.0000 0.5000 0.5000
Co2 0.2986 0.2986 0.2986
Co3 0.2986 0.2986 0.6043
Co4 0.2986 0.6043 0.2986
Co5 0.3957 0.7014 0.7014
Co6 0.5000 0.0000 0.5000
Co7 0.5000 0.5000 0.0000
Co8 0.5000 0.5000 0.5000
Co9 0.6043 0.2986 0.2986
Co10 0.7014 0.3957 0.7014
Co11 0.7014 0.7014 0.3957
Co12 0.7014 0.7014 0.7014
# Spin magnetization (μB/f.u.): 1.4
# SG: Fd-3m, No. 227
# Formation energy (eV/atom): 0.11
# E (eV per formula unit): -7.776

***

[2]
# Y2Tm | OQMD via LeMat-Bulk | GGA-PBE | optimized geometry
data_Y2Tm
_chemical_formula_sum 'Y4 Tm2'
_space_group_name_H-M_alt 'P 1'
_space_group_IT_number 1
_cell_length_a 7.9228
_cell_length_b 7.9228
_cell_length_c 5.0023
_cell_angle_alpha 90.00
_cell_angle_beta 90.00
_cell_angle_gamma 143.18
loop_
_space_group_symop_operation_xyz
'x,y,z'
loop_
_atom_site_label
_atom_site_fract_x
_atom_site_fract_y
_atom_site_fract_z
Y1 0.0825 0.9175 0.7500
Y2 0.2497 0.7503 0.2500
Y3 0.7503 0.2497 0.7500
Y4 0.9175 0.0825 0.2500
Tm1 0.4173 0.5827 0.7500
Tm2 0.5827 0.4173 0.2500
# Offset from the most stable computed form (kcal/mol of atoms): 0.00
# Spin magnetization (μB/f.u.): 0.0
# SG: Cmcm, No. 63
# Formation energy (eV/atom): 0.03
# E (eV per formula unit): -17.314

***

[3]
# LiMgTlZn | OQMD via LeMat-Bulk | GGA-PBE | optimized geometry
data_LiMgTlZn
_chemical_formula_sum 'Li1 Mg1 Tl1 Zn1'
_space_group_name_H-M_alt 'P 1'
_space_group_IT_number 1
_cell_length_a 4.8022
_cell_length_b 4.8022
_cell_length_c 4.8022
_cell_angle_alpha 60.00
_cell_angle_beta 60.00
_cell_angle_gamma 60.00
loop_
_space_group_symop_operation_xyz
'x,y,z'
loop_
_atom_site_label
_atom_site_fract_x
_atom_site_fract_y
_atom_site_fract_z
Li1 0.0000 0.0000 0.0000
Mg1 0.5000 0.5000 0.5000
Tl1 0.2500 0.2500 0.2500
Zn1 0.7500 0.7500 0.7500
# Offset from the most stable computed form (kcal/mol of atoms): 0.00
# SG: F-43m, No. 216
# E (eV per formula unit): -7.484

***

[4]
# ZnInNi2 | OQMD via LeMat-Bulk | GGA-PBE | optimized geometry
data_ZnInNi2
_chemical_formula_sum 'Zn1 In1 Ni2'
_space_group_name_H-M_alt 'P 1'
_space_group_IT_number 1
_cell_length_a 4.2885
_cell_length_b 4.2885
_cell_length_c 4.2885
_cell_angle_alpha 60.00
_cell_angle_beta 60.00
_cell_angle_gamma 60.00
loop_
_space_group_symop_operation_xyz
'x,y,z'
loop_
_atom_site_label
_atom_site_fract_x
_atom_site_fract_y
_atom_site_fract_z
Zn1 0.0000 0.0000 0.0000
In1 0.7500 0.7500 0.7500
Ni1 0.2500 0.2500 0.2500
Ni2 0.5000 0.5000 0.5000
# Spin magnetization (μB/f.u.): 0.0
# SG: F-43m, No. 216
# E (eV per formula unit): -15.172

***

[5]
# TbPrGeCl2 | OQMD via LeMat-Bulk | GGA-PBE | optimized geometry
data_TbPrGeCl2
_chemical_formula_sum 'Tb1 Pr1 Ge1 Cl2'
_space_group_name_H-M_alt 'P 1'
_space_group_IT_number 1
_cell_length_a 4.1915
_cell_length_b 4.1915
_cell_length_c 9.8044
_cell_angle_alpha 90.00
_cell_angle_beta 90.00
_cell_angle_gamma 120.00
loop_
_space_group_symop_operation_xyz
'x,y,z'
loop_
_atom_site_label
_atom_site_fract_x
_atom_site_fract_y
_atom_site_fract_z
Tb1 0.0000 0.0000 0.0000
Pr1 0.6667 0.3333 0.3404
Ge1 0.3333 0.6667 0.1641
Cl1 0.0000 0.0000 0.5071
Cl2 0.6667 0.3333 0.8461
# Spin magnetization (μB/f.u.): 0.0
# SG: P3m1, No. 156
# E (eV per formula unit): -25.879

***

[6]
# HfTaPO | OQMD via LeMat-Bulk | GGA-PBE | optimized geometry
data_HfTaPO
_chemical_formula_sum 'Hf2 Ta2 P2 O2'
_space_group_name_H-M_alt 'P 1'
_space_group_IT_number 1
_cell_length_a 3.8650
_cell_length_b 3.8650
_cell_length_c 7.6814
_cell_angle_alpha 90.00
_cell_angle_beta 90.00
_cell_angle_gamma 90.00
loop_
_space_group_symop_operation_xyz
'x,y,z'
loop_
_atom_site_label
_atom_site_fract_x
_atom_site_fract_y
_atom_site_fract_z
Hf1 0.2500 0.7500 0.0000
Hf2 0.7500 0.2500 0.0000
Ta1 0.2500 0.2500 0.3653
Ta2 0.7500 0.7500 0.6347
P1 0.2500 0.2500 0.7629
P2 0.7500 0.7500 0.2371
O1 0.2500 0.7500 0.5000
O2 0.7500 0.2500 0.5000
# Offset from the most stable computed form (kcal/mol of atoms): 14.19
# Spin magnetization (μB/f.u.): 0.0
# SG: P4/nmm, No. 129
# E (eV per formula unit): -35.949

***

[7]
# Ba2HgPd | OQMD via LeMat-Bulk | GGA-PBE | optimized geometry
data_Ba2HgPd
_chemical_formula_sum 'Ba2 Hg1 Pd1'
_space_group_name_H-M_alt 'P 1'
_space_group_IT_number 1
_cell_length_a 5.4857
_cell_length_b 5.4857
_cell_length_c 5.4857
_cell_angle_alpha 60.00
_cell_angle_beta 60.00
_cell_angle_gamma 60.00
loop_
_space_group_symop_operation_xyz
'x,y,z'
loop_
_atom_site_label
_atom_site_fract_x
_atom_site_fract_y
_atom_site_fract_z
Ba1 0.0000 0.0000 0.0000
Ba2 0.2500 0.2500 0.2500
Hg1 0.7500 0.7500 0.7500
Pd1 0.5000 0.5000 0.5000
# SG: F-43m, No. 216
# E (eV per formula unit): -10.315

***

[8]
# CuSiPdPt | OQMD via LeMat-Bulk | GGA-PBE | optimized geometry
data_CuSiPdPt
_chemical_formula_sum 'Cu1 Si1 Pd1 Pt1'
_space_group_name_H-M_alt 'P 1'
_space_group_IT_number 1
_cell_length_a 4.2980
_cell_length_b 4.2980
_cell_length_c 4.2980
_cell_angle_alpha 60.00
_cell_angle_beta 60.00
_cell_angle_gamma 60.00
loop_
_space_group_symop_operation_xyz
'x,y,z'
loop_
_atom_site_label
_atom_site_fract_x
_atom_site_fract_y
_atom_site_fract_z
Cu1 0.0000 0.0000 0.0000
Si1 0.7500 0.7500 0.7500
Pd1 0.2500 0.2500 0.2500
Pt1 0.5000 0.5000 0.5000
# Offset from the most stable computed form (kcal/mol of atoms): 0.00
# Spin magnetization (μB/f.u.): 0.0
# SG: F-43m, No. 216
# E (eV per formula unit): -21.214

***

[9]
# Hf4Ta2Zn3C3 | OQMD via LeMat-Bulk | GGA-PBE | optimized geometry
data_Hf4Ta2Zn3C3
_chemical_formula_sum 'Hf8 Ta4 Zn6 C6'
_space_group_name_H-M_alt 'P 1'
_space_group_IT_number 1
_cell_length_a 5.5993
_cell_length_b 5.5993
_cell_length_c 14.2703
_cell_angle_alpha 101.49
_cell_angle_beta 101.49
_cell_angle_gamma 60.01
loop_
_space_group_symop_operation_xyz
'x,y,z'
loop_
_atom_site_label
_atom_site_fract_x
_atom_site_fract_y
_atom_site_fract_z
Hf1 0.0362 0.1941 0.0937
Hf2 0.1304 0.3019 0.4063
Hf3 0.1941 0.0362 0.5937
Hf4 0.3019 0.1304 0.9063
Hf5 0.6981 0.8696 0.0937
Hf6 0.8059 0.9638 0.4063
Hf7 0.8696 0.6981 0.5937
Hf8 0.9638 0.8059 0.9063
Ta1 0.3564 0.5267 0.0796
Ta2 0.4733 0.6436 0.4204
Ta3 0.5267 0.3564 0.5796
Ta4 0.6436 0.4733 0.9204
Zn1 0.1377 0.8623 0.2500
Zn2 0.3025 0.4182 0.7508
Zn3 0.4182 0.3025 0.2508
Zn4 0.5818 0.6975 0.7492
Zn5 0.6975 0.5818 0.2492
Zn6 0.8623 0.1377 0.7500
C1 0.0000 0.5000 0.0000
C2 0.1674 0.6664 0.5000
C3 0.3336 0.8326 0.0000
C4 0.5000 0.0000 0.5000
C5 0.6664 0.1674 0.0000
C6 0.8326 0.3336 0.5000
# Spin magnetization (μB/f.u.): 0.0
# SG: C2/c, No. 15
# E (eV per formula unit): -101.488

***

[10]
# LiBe2Pd3 | OQMD via LeMat-Bulk | GGA-PBE | optimized geometry
data_LiBe2Pd3
_chemical_formula_sum 'Li1 Be2 Pd3'
_space_group_name_H-M_alt 'P 1'
_space_group_IT_number 1
_cell_length_a 2.8429
_cell_length_b 2.8429
_cell_length_c 8.8219
_cell_angle_alpha 90.00
_cell_angle_beta 90.00
_cell_angle_gamma 90.00
loop_
_space_group_symop_operation_xyz
'x,y,z'
loop_
_atom_site_label
_atom_site_fract_x
_atom_site_fract_y
_atom_site_fract_z
Li1 0.0000 0.0000 0.0000
Be1 0.0000 0.0000 0.3333
Be2 0.0000 0.0000 0.6667
Pd1 0.5000 0.5000 0.1843
Pd2 0.5000 0.5000 0.5000
Pd3 0.5000 0.5000 0.8157
# SG: P4/mmm, No. 123
# E (eV per formula unit): -28.376

***

[11]
# As2W4CN | OQMD via LeMat-Bulk | GGA-PBE | optimized geometry
data_As2W4CN
_chemical_formula_sum 'As2 W4 C1 N1'
_space_group_name_H-M_alt 'P 1'
_space_group_IT_number 1
_cell_length_a 3.0826
_cell_length_b 3.0826
_cell_length_c 12.9594
_cell_angle_alpha 90.00
_cell_angle_beta 90.00
_cell_angle_gamma 120.00
loop_
_space_group_symop_operation_xyz
'x,y,z'
loop_
_atom_site_label
_atom_site_fract_x
_atom_site_fract_y
_atom_site_fract_z
As1 0.3333 0.6667 0.2503
As2 0.6667 0.3333 0.7497
W1 0.3333 0.6667 0.5912
W2 0.3333 0.6667 0.8995
W3 0.6667 0.3333 0.1005
W4 0.6667 0.3333 0.4088
C1 0.0000 0.0000 0.5000
N1 0.0000 0.0000 0.0000
# Spin magnetization (μB/f.u.): 0.0
# SG: P-3m1, No. 164
# E (eV per formula unit): -76.449

***

[12]
# TbNd2Cu4Sn4 | OQMD via LeMat-Bulk | GGA-PBE | optimized geometry
data_TbNd2Cu4Sn4
_chemical_formula_sum 'Tb1 Nd2 Cu4 Sn4'
_space_group_name_H-M_alt 'P 1'
_space_group_IT_number 1
_cell_length_a 8.5372
_cell_length_b 8.5372
_cell_length_c 8.5372
_cell_angle_alpha 149.05
_cell_angle_beta 132.15
_cell_angle_gamma 58.08
loop_
_space_group_symop_operation_xyz
'x,y,z'
loop_
_atom_site_label
_atom_site_fract_x
_atom_site_fract_y
_atom_site_fract_z
Tb1 0.0000 0.0000 0.0000
Nd1 0.3679 0.8679 0.5000
Nd2 0.6321 0.1321 0.5000
Cu1 0.0163 0.3304 0.6859
Cu2 0.3555 0.6696 0.6859
Cu3 0.6445 0.3304 0.3141
Cu4 0.9837 0.6696 0.3141
Sn1 0.2146 0.2146 0.0000
Sn2 0.2943 0.5000 0.7943
Sn3 0.7057 0.5000 0.2057
Sn4 0.7854 0.7854 0.0000
# Spin magnetization (μB/f.u.): 0.0
# SG: Immm, No. 71
# E (eV per formula unit): -50.909

***

[13]
# RbHoO3 | OQMD via LeMat-Bulk | GGA-PBE | optimized geometry
data_RbHoO3
_chemical_formula_sum 'Rb4 Ho4 O12'
_space_group_name_H-M_alt 'P 1'
_space_group_IT_number 1
_cell_length_a 6.1807
_cell_length_b 9.4770
_cell_length_c 6.1289
_cell_angle_alpha 90.00
_cell_angle_beta 90.00
_cell_angle_gamma 90.00
loop_
_space_group_symop_operation_xyz
'x,y,z'
loop_
_atom_site_label
_atom_site_fract_x
_atom_site_fract_y
_atom_site_fract_z
Rb1 0.0000 0.0000 0.0000
Rb2 0.0000 0.5000 0.0000
Rb3 0.5000 0.0000 0.5000
Rb4 0.5000 0.5000 0.5000
Ho1 0.0118 0.2500 0.4895
Ho2 0.4882 0.7500 0.9895
Ho3 0.5118 0.2500 0.0105
Ho4 0.9882 0.7500 0.5105
O1 0.2326 0.7500 0.7557
O2 0.2428 0.6705 0.2559
O3 0.2428 0.8295 0.2559
O4 0.2572 0.1705 0.7559
O5 0.2572 0.3295 0.7559
O6 0.2673 0.2500 0.2557
O7 0.7326 0.7500 0.7443
O8 0.7428 0.6705 0.2441
O9 0.7428 0.8295 0.2441
O10 0.7572 0.1705 0.7441
O11 0.7572 0.3295 0.7441
O12 0.7674 0.2500 0.2443
# Spin magnetization (μB/f.u.): 0.0
# SG: Pnma, No. 62
# E (eV per formula unit): -29.816

***

[14]
# NaBiOs | OQMD via LeMat-Bulk | GGA-PBE | optimized geometry
data_NaBiOs
_chemical_formula_sum 'Na1 Bi1 Os1'
_space_group_name_H-M_alt 'P 1'
_space_group_IT_number 1
_cell_length_a 4.5971
_cell_length_b 4.5971
_cell_length_c 4.5971
_cell_angle_alpha 60.00
_cell_angle_beta 60.00
_cell_angle_gamma 60.00
loop_
_space_group_symop_operation_xyz
'x,y,z'
loop_
_atom_site_label
_atom_site_fract_x
_atom_site_fract_y
_atom_site_fract_z
Na1 0.0000 0.0000 0.0000
Bi1 0.5000 0.5000 0.5000
Os1 0.7500 0.7500 0.7500
# Offset from the most stable computed form (kcal/mol of atoms): 0.00
# Spin magnetization (μB/f.u.): 0.0
# SG: F-43m, No. 216
# E (eV per formula unit): -14.193

***

[15]
# InP2Au | OQMD via LeMat-Bulk | GGA-PBE | optimized geometry
data_InP2Au
_chemical_formula_sum 'In2 P4 Au2'
_space_group_name_H-M_alt 'P 1'
_space_group_IT_number 1
_cell_length_a 6.0173
_cell_length_b 6.0173
_cell_length_c 5.2770
_cell_angle_alpha 90.00
_cell_angle_beta 90.00
_cell_angle_gamma 83.68
loop_
_space_group_symop_operation_xyz
'x,y,z'
loop_
_atom_site_label
_atom_site_fract_x
_atom_site_fract_y
_atom_site_fract_z
In1 0.1992 0.8008 0.7500
In2 0.8008 0.1992 0.2500
P1 0.0094 0.2314 0.7500
P2 0.2314 0.0094 0.2500
P3 0.7686 0.9906 0.7500
P4 0.9906 0.7686 0.2500
Au1 0.5000 0.5000 0.0000
Au2 0.5000 0.5000 0.5000
# SG: Cmcm, No. 63
# E (eV per formula unit): -15.292

***

[16]
# Zr2Be2Tc | OQMD via LeMat-Bulk | GGA-PBE | optimized geometry
data_Zr2Be2Tc
_chemical_formula_sum 'Zr4 Be4 Tc2'
_space_group_name_H-M_alt 'P 1'
_space_group_IT_number 1
_cell_length_a 6.5313
_cell_length_b 6.5313
_cell_length_c 3.5649
_cell_angle_alpha 90.00
_cell_angle_beta 90.00
_cell_angle_gamma 90.00
loop_
_space_group_symop_operation_xyz
'x,y,z'
loop_
_atom_site_label
_atom_site_fract_x
_atom_site_fract_y
_atom_site_fract_z
Zr1 0.1832 0.3168 0.0000
Zr2 0.3168 0.8168 0.0000
Zr3 0.6832 0.1832 0.0000
Zr4 0.8168 0.6832 0.0000
Be1 0.1154 0.6154 0.5000
Be2 0.3846 0.1154 0.5000
Be3 0.6154 0.8846 0.5000
Be4 0.8846 0.3846 0.5000
Tc1 0.0000 0.0000 0.5000
Tc2 0.5000 0.5000 0.5000
# Spin magnetization (μB/f.u.): 0.0
# SG: P4/mbm, No. 127
# E (eV per formula unit): -35.968

***

[17]
# As2PtO6 | OQMD via LeMat-Bulk | GGA-PBE | optimized geometry
data_As2PtO6
_chemical_formula_sum 'As2 Pt1 O6'
_space_group_name_H-M_alt 'P 1'
_space_group_IT_number 1
_cell_length_a 4.9211
_cell_length_b 4.9211
_cell_length_c 4.6324
_cell_angle_alpha 90.00
_cell_angle_beta 90.00
_cell_angle_gamma 120.00
loop_
_space_group_symop_operation_xyz
'x,y,z'
loop_
_atom_site_label
_atom_site_fract_x
_atom_site_fract_y
_atom_site_fract_z
As1 0.3333 0.6667 0.0000
As2 0.6667 0.3333 0.0000
Pt1 0.0000 0.0000 0.5000
O1 0.0000 0.3708 0.7771
O2 0.0000 0.6292 0.2229
O3 0.3708 0.0000 0.7771
O4 0.3708 0.3708 0.2229
O5 0.6292 0.0000 0.2229
O6 0.6292 0.6292 0.7771
# Spin magnetization (μB/f.u.): 2.0
# SG: P-31m, No. 162
# E (eV per formula unit): -52.051

***

[18]
# HoTmBe2Ge2 | OQMD via LeMat-Bulk | GGA-PBE | optimized geometry
data_HoTmBe2Ge2
_chemical_formula_sum 'Ho1 Tm1 Be2 Ge2'
_space_group_name_H-M_alt 'P 1'
_space_group_IT_number 1
_cell_length_a 3.8946
_cell_length_b 3.8946
_cell_length_c 7.9881
_cell_angle_alpha 90.00
_cell_angle_beta 90.00
_cell_angle_gamma 120.00
loop_
_space_group_symop_operation_xyz
'x,y,z'
loop_
_atom_site_label
_atom_site_fract_x
_atom_site_fract_y
_atom_site_fract_z
Ho1 0.0000 0.0000 0.0000
Tm1 0.0000 0.0000 0.5000
Be1 0.3333 0.6667 0.2512
Be2 0.6667 0.3333 0.7488
Ge1 0.3333 0.6667 0.7482
Ge2 0.6667 0.3333 0.2518
# Spin magnetization (μB/f.u.): 0.0
# SG: P-3m1, No. 164
# E (eV per formula unit): -29.703

***

[19]
# Zn2CuTc | OQMD via LeMat-Bulk | GGA-PBE | optimized geometry
data_Zn2CuTc
_chemical_formula_sum 'Zn2 Cu1 Tc1'
_space_group_name_H-M_alt 'P 1'
_space_group_IT_number 1
_cell_length_a 4.2543
_cell_length_b 4.2543
_cell_length_c 4.2543
_cell_angle_alpha 60.00
_cell_angle_beta 60.00
_cell_angle_gamma 60.00
loop_
_space_group_symop_operation_xyz
'x,y,z'
loop_
_atom_site_label
_atom_site_fract_x
_atom_site_fract_y
_atom_site_fract_z
Zn1 0.2500 0.2500 0.2500
Zn2 0.7500 0.7500 0.7500
Cu1 0.0000 0.0000 0.0000
Tc1 0.5000 0.5000 0.5000
# Offset from the most stable computed form (kcal/mol of atoms): 0.00
# Spin magnetization (μB/f.u.): 1.0
# SG: Fm-3m, No. 225
# Formation energy (eV/atom): 0.17
# E (eV per formula unit): -15.918

***

[20]
# FeReBW | OQMD via LeMat-Bulk | GGA-PBE | optimized geometry
data_FeReBW
_chemical_formula_sum 'Fe1 Re1 B1 W1'
_space_group_name_H-M_alt 'P 1'
_space_group_IT_number 1
_cell_length_a 4.1231
_cell_length_b 4.1231
_cell_length_c 4.1231
_cell_angle_alpha 60.00
_cell_angle_beta 60.00
_cell_angle_gamma 60.00
loop_
_space_group_symop_operation_xyz
'x,y,z'
loop_
_atom_site_label
_atom_site_fract_x
_atom_site_fract_y
_atom_site_fract_z
Fe1 0.0000 0.0000 0.0000
Re1 0.5000 0.5000 0.5000
B1 0.7500 0.7500 0.7500
W1 0.2500 0.2500 0.2500
# Offset from the most stable computed form (kcal/mol of atoms): 0.00
# Spin magnetization (μB/f.u.): 0.0
# SG: F-43m, No. 216
# E (eV per formula unit): -38.463